[1]
{
  "formula": "CeNd2ErTm4",
  "functional": "GGA-PBE",
  "state": "optimized geometry",
  "lattice": [[6.164, 0.000, 0.000], [0.000, 3.550, 0.000], [-0.005, 0.000, 11.402]],
  "species": ["Ce", "Nd", "Nd", "Er", "Tm", "Tm", "Tm", "Tm"],
  "fractional_positions": [[0.000, 0.000, 0.000], [0.000, 0.000, 0.500], [0.500, 0.500, 0.000], [0.500, 0.500, 0.500], [0.164, 0.500, 0.752], [0.331, 0.000, 0.251], [0.669, 0.000, 0.749], [0.836, 0.500, 0.248]],
  "magnetic_moment_mub_per_atom": 0.0976,
  "dos_at_fermi_per_ev_cell": 13.1,
  "e_form_ev_per_fu": 0.20,
  "dft_energy_ev_per_cell": -37.72,
  "space_group": "P2/m"
}

[2]
{
  "formula": "CeNdErTm",
  "functional": "GGA-PBE",
  "state": "optimized geometry",
  "lattice": [[0.000, 4.000, 4.000], [4.000, 0.000, 4.000], [4.000, 4.000, 0.000]],
  "species": ["Ce", "Nd", "Er", "Tm"],
  "fractional_positions": [[0.000, 0.000, 0.000], [0.500, 0.500, 0.500], [0.750, 0.750, 0.750], [0.250, 0.250, 0.250]],
  "magnetic_moment_mub_per_atom": 0.1609,
  "dos_at_fermi_per_ev_cell": 9.2,
  "e_form_ev_per_fu": 0.59,
  "dft_energy_ev_per_cell": -19.15,
  "space_group": "F-43m"
}

[3]
{
  "formula": "Ce2Nd3ErTm6",
  "functional": "GGA-PBE",
  "state": "optimized geometry",
  "lattice": [[3.071, -5.316, 0.000], [3.071, 5.316, 0.000], [-2.043, 0.000, 11.470]],
  "species": ["Ce", "Ce", "Nd", "Nd", "Nd", "Er", "Tm", "Tm", "Tm", "Tm", "Tm", "Tm"],
  "fractional_positions": [[0.166, 0.834, 0.000], [0.834, 0.166, 0.000], [0.000, 0.000, 0.500], [0.334, 0.666, 0.500], [0.666, 0.334, 0.500], [0.500, 0.500, 0.000], [0.083, 0.418, 0.754], [0.247, 0.247, 0.246], [0.418, 0.083, 0.754], [0.582, 0.917, 0.246], [0.753, 0.753, 0.754], [0.917, 0.582, 0.246]],
  "magnetic_moment_mub_per_atom": 0.1539,
  "dos_at_fermi_per_ev_cell": 19.2,
  "e_form_ev_per_fu": 0.53,
  "dft_energy_ev_per_cell": -57.03,
  "space_group": "C2/m"
}

[4]
{
  "formula": "CeNdY2Er",
  "functional": "GGA-PBE",
  "state": "optimized geometry",
  "lattice": [[5.856, 0.000, 0.000], [0.000, 7.707, 0.000], [0.000, 0.000, 7.360]],
  "species": ["Ce", "Ce", "Nd", "Nd", "Y", "Y", "Y", "Y", "Er", "Er"],
  "fractional_positions": [[0.000, 0.000, 0.000], [0.500, 0.000, 0.000], [0.250, 0.500, 0.160], [0.750, 0.500, 0.840], [0.250, 0.288, 0.673], [0.250, 0.712, 0.673], [0.750, 0.288, 0.327], [0.750, 0.712, 0.327], [0.250, 0.000, 0.381], [0.750, 0.000, 0.619]],
  "magnetic_moment_mub_per_atom": 0.3183,
  "dos_at_fermi_per_ev_cell": 20.2,
  "e_form_ev_per_fu": 1.42,
  "dft_energy_ev_per_cell": -53.54,
  "space_group": "Pmma"
}

[5]
{
  "formula": "Ce2NdY6Er3",
  "functional": "GGA-PBE",
  "state": "optimized geometry",
  "lattice": [[3.082, -5.338, 0.000], [3.082, 5.338, 0.000], [-2.056, 0.000, 11.606]],
  "species": ["Ce", "Ce", "Nd", "Y", "Y", "Y", "Y", "Y", "Y", "Er", "Er", "Er"],
  "fractional_positions": [[0.167, 0.833, 0.000], [0.833, 0.167, 0.000], [0.500, 0.500, 0.000], [0.080, 0.416, 0.749], [0.249, 0.249, 0.251], [0.416, 0.080, 0.749], [0.584, 0.920, 0.251], [0.751, 0.751, 0.749], [0.920, 0.584, 0.251], [0.000, 0.000, 0.500], [0.334, 0.666, 0.500], [0.666, 0.334, 0.500]],
  "magnetic_moment_mub_per_atom": 0.1549,
  "dos_at_fermi_per_ev_cell": 23.6,
  "e_form_ev_per_fu": 0.67,
  "dft_energy_ev_per_cell": -68.44,
  "space_group": "C2/m"
}

[6]
{
  "formula": "CeNdY3Er",
  "functional": "GGA-PBE",
  "state": "optimized geometry",
  "lattice": [[2.535, -7.565, 0.000], [2.535, 7.565, 0.000], [0.000, 0.000, 10.119]],
  "species": ["Ce", "Ce", "Nd", "Nd", "Y", "Y", "Y", "Y", "Y", "Y", "Er", "Er"],
  "fractional_positions": [[0.001, 0.999, 0.750], [0.999, 0.001, 0.250], [0.500, 0.500, 0.000], [0.500, 0.500, 0.500], [0.165, 0.835, 0.000], [0.165, 0.835, 0.500], [0.333, 0.667, 0.750], [0.667, 0.333, 0.250], [0.835, 0.165, 0.000], [0.835, 0.165, 0.500], [0.333, 0.667, 0.250], [0.667, 0.333, 0.750]],
  "magnetic_moment_mub_per_atom": 0.1731,
  "dos_at_fermi_per_ev_cell": 23.2,
  "e_form_ev_per_fu": 0.37,
  "dft_energy_ev_per_cell": -68.58,
  "space_group": "Cmcm"
}

[7]
{
  "formula": "Ce2NdY3Er6",
  "functional": "GGA-PBE",
  "state": "optimized geometry",
  "lattice": [[3.066, -5.309, 0.000], [3.066, 5.309, 0.000], [-2.045, 0.000, 11.531]],
  "species": ["Ce", "Ce", "Nd", "Y", "Y", "Y", "Er", "Er", "Er", "Er", "Er", "Er"],
  "fractional_positions": [[0.167, 0.833, 0.000], [0.833, 0.167, 0.000], [0.500, 0.500, 0.000], [0.000, 0.000, 0.500], [0.334, 0.666, 0.500], [0.666, 0.334, 0.500], [0.080, 0.417, 0.751], [0.247, 0.247, 0.249], [0.417, 0.080, 0.751], [0.583, 0.920, 0.249], [0.753, 0.753, 0.751], [0.920, 0.583, 0.249]],
  "magnetic_moment_mub_per_atom": 0.1477,
  "dos_at_fermi_per_ev_cell": 22.8,
  "e_form_ev_per_fu": 0.63,
  "dft_energy_ev_per_cell": -62.77,
  "space_group": "C2/m"
}

[8]
{
  "formula": "CeNd2Y6Er3",
  "functional": "GGA-PBE",
  "state": "optimized geometry",
  "lattice": [[3.099, -5.367, 0.000], [3.099, 5.367, 0.000], [-2.066, 0.000, 11.643]],
  "species": ["Ce", "Nd", "Nd", "Y", "Y", "Y", "Y", "Y", "Y", "Er", "Er", "Er"],
  "fractional_positions": [[0.000, 0.000, 0.000], [0.334, 0.666, 0.000], [0.666, 0.334, 0.000], [0.085, 0.415, 0.253], [0.246, 0.246, 0.747], [0.415, 0.085, 0.253], [0.585, 0.915, 0.747], [0.754, 0.754, 0.253], [0.915, 0.585, 0.747], [0.167, 0.833, 0.500], [0.500, 0.500, 0.500], [0.833, 0.167, 0.500]],
  "magnetic_moment_mub_per_atom": 0.0832,
  "dos_at_fermi_per_ev_cell": 21.3,
  "e_form_ev_per_fu": 0.51,
  "dft_energy_ev_per_cell": -67.43,
  "space_group": "C2/m"
}

[9]
{
  "formula": "Ce2Nd3Y6Er",
  "functional": "GGA-PBE",
  "state": "optimized geometry",
  "lattice": [[3.109, -5.384, 0.000], [3.109, 5.384, 0.000], [-2.068, 0.000, 11.652]],
  "species": ["Ce", "Ce", "Nd", "Nd", "Nd", "Y", "Y", "Y", "Y", "Y", "Y", "Er"],
  "fractional_positions": [[0.166, 0.834, 0.000], [0.834, 0.166, 0.000], [0.000, 0.000, 0.500], [0.334, 0.666, 0.500], [0.666, 0.334, 0.500], [0.083, 0.418, 0.754], [0.247, 0.247, 0.246], [0.418, 0.083, 0.754], [0.582, 0.917, 0.246], [0.753, 0.753, 0.754], [0.917, 0.582, 0.246], [0.500, 0.500, 0.000]],
  "magnetic_moment_mub_per_atom": 0.1635,
  "dos_at_fermi_per_ev_cell": 20.8,
  "e_form_ev_per_fu": 0.54,
  "dft_energy_ev_per_cell": -68.98,
  "space_group": "C2/m"
}

[10]
{
  "formula": "CeNdErZr",
  "functional": "GGA-PBE",
  "state": "optimized geometry",
  "lattice": [[0.000, 3.902, 3.902], [3.902, 0.000, 3.902], [3.902, 3.902, 0.000]],
  "species": ["Ce", "Nd", "Er", "Zr"],
  "fractional_positions": [[0.000, 0.000, 0.000], [0.750, 0.750, 0.750], [0.500, 0.500, 0.500], [0.250, 0.250, 0.250]],
  "magnetic_moment_mub_per_atom": 0.7959,
  "dos_at_fermi_per_ev_cell": 9.6,
  "e_form_ev_per_fu": 1.04,
  "dft_energy_ev_per_cell": -22.77,
  "space_group": "F-43m"
}

[11]
{
  "formula": "Ce3ErNi8",
  "functional": "GGA-PBE",
  "state": "optimized geometry",
  "lattice": [[2.538, 1.466, 8.271], [-2.538, 1.466, 8.271], [0.000, -2.931, 8.271]],
  "species": ["Ce", "Ce", "Ce", "Er", "Ni", "Ni", "Ni", "Ni", "Ni", "Ni", "Ni", "Ni"],
  "fractional_positions": [[0.000, 0.000, 0.000], [0.124, 0.124, 0.124], [0.632, 0.632, 0.632], [0.505, 0.505, 0.505], [0.066, 0.066, 0.562], [0.066, 0.562, 0.066], [0.070, 0.565, 0.565], [0.316, 0.316, 0.316], [0.562, 0.066, 0.066], [0.565, 0.070, 0.565], [0.565, 0.565, 0.070], [0.816, 0.816, 0.816]],
  "magnetic_moment_mub_per_atom": 0.0076,
  "dos_at_fermi_per_ev_cell": 14.9,
  "e_form_ev_per_fu": -4.80,
  "polymorph_energy_mev_per_atom": 0,
  "dft_energy_ev_per_cell": -73.41,
  "space_group": "R3m"
}

[12]
{
  "formula": "CeErNi2",
  "functional": "GGA-PBE",
  "state": "optimized geometry",
  "lattice": [[1.933, 1.116, 6.510], [-1.933, 1.116, 6.510], [0.000, -2.231, 6.510]],
  "species": ["Ce", "Er", "Ni", "Ni"],
  "fractional_positions": [[0.000, 0.000, 0.000], [0.500, 0.500, 0.500], [0.253, 0.253, 0.253], [0.747, 0.747, 0.747]],
  "magnetic_moment_mub_per_atom": 0.0000,
  "dos_at_fermi_per_ev_cell": 2.7,
  "e_form_ev_per_fu": -1.03,
  "dft_energy_ev_per_cell": -23.09,
  "space_group": "R-3m"
}